This record from the Alexandria database describes a PBEsol-optimized structure of RbFeN2. The functional is meta-GGA SCAN.

a = 5.9065 Å, b = 5.9065 Å, c = 5.9065 Å
α = 90.00°, β = 90.00°, γ = 90.00°
Last column: nearest neighbours and their distance in Å.
Space group Fm-3m (No. 225)
Asymmetric unit:
Rb: 0.0000 0.0000 0.0000 x4  8 N 2.56
Fe: 0.0000 0.0000 0.5000 x4  8 N 2.56
N: 0.2500 0.2500 0.2500 x8  4 Fe 2.56, 4 Rb 2.56

Final energy (eV per atom): -12.427
Spin magnetization (μB per cell): 6.0
E above lowest polymorph (eV/atom): 1.3226
ΔE_f (raw) (eV per atom): 1.935
V (A^3/atom): 12.9